[1]
The following is a PBE calculation of a relaxed Lu2AlCo crystal, from OQMD.

```
Lu2AlCo
1.0
1.193 -4.217 -1.684
-2.024 -3.872 1.718
-3.041 -2.424 -2.631
Al Co Lu
1 1 2
Direct
0.500 0.500 0.500 Al
0.250 0.250 0.250 Co
0.000 0.000 0.000 Lu
0.750 0.750 0.750 Lu
```

Magnetization (μB/f.u.): 0.00
VASP energy (eV for the cell shown): -20.2



[2]
The following is a PBE calculation of a relaxed Lu4AlZnN2 crystal, from OQMD.

```
Lu4AlZnN2
1.0
-2.330 0.262 2.439
2.860 -1.714 0.570
6.434 12.337 4.822
Al Lu N Zn
1 4 2 1
Direct
0.667 0.333 0.000 Al
0.000 0.000 0.165 Lu
0.667 0.333 0.345 Lu
0.667 0.333 0.655 Lu
0.000 0.000 0.835 Lu
0.333 0.667 0.252 N
0.333 0.667 0.748 N
0.000 0.000 0.500 Zn
```

Magnetization (μB/f.u.): 0.00
VASP energy (eV for the cell shown): -47.5



[3]
The following is a PBE calculation of a relaxed Dy2Y2Er2TmNi2Te2 crystal, from OQMD.

```
Dy2Y2Er2TmNi2Te2
1.0
-1.919 7.785 4.781
1.919 -7.785 4.781
1.919 7.785 -4.781
Dy Er Ni Te Tm Y
2 2 2 2 1 2
Direct
0.100 0.746 0.354 Dy
0.393 0.746 0.646 Dy
0.027 0.895 0.132 Er
0.763 0.895 0.868 Er
0.643 0.404 0.239 Ni
0.166 0.404 0.761 Ni
0.141 0.141 0.000 Te
0.742 0.242 0.500 Te
0.477 0.477 0.000 Tm
0.413 0.097 0.316 Y
0.782 0.097 0.684 Y
```

Magnetization (μB/f.u.): 0.02
VASP energy (eV for the cell shown): -60.5



[4]
The following is a PBE calculation of a relaxed Cs2Tm3Se4 crystal, from OQMD.

```
Cs2Tm3Se4
1.0
-3.300 6.237 7.833
3.300 -6.237 7.833
3.300 6.237 -7.833
Cs Se Tm
4 8 6
Direct
0.379 0.758 0.137 Cs
0.121 0.258 0.379 Cs
0.879 0.742 0.621 Cs
0.621 0.242 0.863 Cs
0.725 0.072 0.083 Se
0.010 0.357 0.083 Se
0.490 0.572 0.347 Se
0.775 0.857 0.347 Se
0.225 0.143 0.653 Se
0.510 0.428 0.653 Se
0.990 0.643 0.917 Se
0.275 0.928 0.917 Se
0.250 0.250 0.000 Tm
0.750 0.750 0.000 Tm
0.530 0.250 0.280 Tm
0.030 0.750 0.280 Tm
0.970 0.250 0.720 Tm
0.470 0.750 0.720 Tm
```

Magnetization (μB/f.u.): 2.61
VASP energy (eV for the cell shown): -81.1